(1)
## Ba3MnSn (PBE)

Data for crystalline Ba3MnSn at its relaxed geometry.

Unit cell a=5.6774 b=5.6774 c=5.6774 alpha=90.00 beta=90.00 gamma=90.00
Last column: nearest neighbours and their distance in Å.
Element x y z (fractional)
Ba 0.0000 0.0000 0.5000  2 Mn 2.84
Ba 0.0000 0.5000 0.0000  2 Mn 2.84
Ba 0.5000 0.0000 0.0000  2 Mn 2.84
Mn 0.0000 0.0000 0.0000  6 Ba 2.84
Sn 0.5000 0.5000 0.5000  12 Ba 4.01

Properties
D(E_F) ... 2.661 states/eV per atom
Space-group type ... Pm-3m, No. 221

(2)
## BaMnSn2 (PBE)

Data for crystalline BaMnSn2 at its relaxed geometry.

Unit cell a=5.1205 b=5.1205 c=5.1205 alpha=60.00 beta=60.00 gamma=60.00
Last column: nearest neighbours and their distance in Å.
Element x y z (fractional)
Ba 0.0000 0.0000 0.0000  8 Sn 3.14
Mn 0.5000 0.5000 0.5000  8 Sn 3.14
Sn 0.2500 0.2500 0.2500  4 Mn 3.14, 4 Ba 3.14
Sn 0.7500 0.7500 0.7500  4 Ba 3.14, 4 Mn 3.14

Properties
D(E_F) ... 2.857 states/eV per atom
Space-group type ... Fm-3m, No. 225

(3)
## BaY2MnSn (PBE)

Data for crystalline BaY2MnSn at its relaxed geometry.

Unit cell a=5.7636 b=5.7636 c=6.5445 alpha=90.00 beta=90.00 gamma=90.00
Last column: nearest neighbours and their distance in Å.
Element x y z (fractional)
Ba 0.0000 0.0000 0.0000  2 Sn 3.27
Y 0.0000 0.5000 0.5000  2 Sn 2.88
Y 0.5000 0.0000 0.5000  2 Sn 2.88
Mn 0.5000 0.5000 0.0000  4 Ba 4.08, 8 Y 4.36
Sn 0.0000 0.0000 0.5000  4 Y 2.88

Properties
D(E_F) ... 1.360 states/eV per atom
Space-group type ... P4/mmm, No. 123

(4)
## BaMnZnSn2 (PBE)

Data for crystalline BaMnZnSn2 at its relaxed geometry.

Unit cell a=5.0981 b=5.0981 c=5.0189 alpha=90.00 beta=90.00 gamma=90.00
Last column: nearest neighbours and their distance in Å.
Element x y z (fractional)
Ba 0.0000 0.0000 0.0000  8 Sn 3.58, 4 Zn 3.60
Mn 0.5000 0.5000 0.5000  2 Zn 2.51, 4 Sn 2.55
Zn 0.5000 0.5000 0.0000  2 Mn 2.51
Sn 0.0000 0.5000 0.5000  2 Mn 2.55
Sn 0.5000 0.0000 0.5000  2 Mn 2.55

Properties
D(E_F) ... 0.559 states/eV per atom
Space-group type ... P4/mmm, No. 123

Table of magnetic moment (μB/f.u.), in record order: 0.00 0.01 3.67 1.92
Table of energy of formation (meV per atom), in record order: 413 550 557 -168
Table of DFT total energy (eV/cell), in record order: -16.878 -16.899 -25.236 -21.212